Record 1
First-principles (GGA-PBE) data for a relaxed structure of Tb2Nd4Sm3, as listed in the Alexandria database.

Calculated values
Crystal system: trigonal

Cell lengths 3.6403, 3.6403, 27.0703 Å; angles 90.00, 90.00, 120.00 degrees
Positions (direct):
Tb 0.6667 0.3333 0.0865
Tb 0.6667 0.3333 0.8738
Nd 0.0000 0.0000 0.5447
Nd 0.6667 0.3333 0.4332
Nd 0.6667 0.3333 0.2139
Nd 0.0000 0.0000 0.7665
Sm 0.0000 0.0000 0.9825
Sm 0.0000 0.0000 0.3210
Sm 0.6667 0.3333 0.6551


Record 2
First-principles (GGA-PBE) data for a relaxed structure of TbNd5Sm5, as listed in the Alexandria database.

Calculated values
Crystal system: triclinic

Cell lengths 7.0250, 8.8011, 9.7635 Å; angles 44.08, 89.16, 105.10 degrees
Positions (direct):
Tb 0.0000 0.0000 0.0000
Nd 0.1473 0.4920 0.1458
Nd 0.2320 0.0907 0.6441
Nd 0.5000 0.0000 0.0000
Nd 0.7680 0.9093 0.3559
Nd 0.8527 0.5080 0.8542
Sm 0.3135 0.0425 0.3208
Sm 0.3500 0.4943 0.7783
Sm 0.0000 0.5000 0.5000
Sm 0.6500 0.5057 0.2217
Sm 0.6865 0.9575 0.6792


Record 3
First-principles (GGA-PBE) data for a relaxed structure of Tb4Nd3Sm8, as listed in the Alexandria database.

Calculated values
Crystal system: monoclinic

Cell lengths 6.9103, 9.2945, 9.2945 Å; angles 82.12, 111.76, 111.76 degrees
Positions (direct):
Tb 0.5000 0.0000 0.0000
Tb 0.0000 0.5000 0.0000
Tb 0.0000 0.0000 0.0000
Tb 0.0000 0.0000 0.5000
Nd 0.5000 0.5000 0.0000
Nd 0.5000 0.0000 0.5000
Nd 0.5000 0.5000 0.5000
Sm 0.7984 0.2966 0.2966
Sm 0.0000 0.7044 0.2956
Sm 0.2482 0.2477 0.2477
Sm 0.5000 0.7521 0.2479
Sm 0.5000 0.2479 0.7521
Sm 0.7518 0.7523 0.7523
Sm 0.0000 0.2956 0.7044
Sm 0.2016 0.7034 0.7034


Taking the records one at a time from the top gives VASP energy values of -4.66, -4.60, -4.37 eV/atom.
Taking the records one at a time from the top gives total moment values of 0.000, 0.000, 0.000 μB per atom.